(1)
Pm2Ho3Ag2 PBE-GGA optimized geometry; total magnetic moment = 0.0 μB per cell
1.0
5.397 0.000 0.000
-2.698 4.657 -0.367
0.000 -2.500 7.994
Pm Ho Ag
2 3 2
Direct
0.076 0.151 0.727 Pm
0.924 0.849 0.273 Pm
0.661 0.323 0.484 Ho
0.500 0.000 0.000 Ho
0.339 0.677 0.516 Ho
0.212 0.425 0.138 Ag
0.788 0.575 0.862 Ag

=====

(2)
Pm2HoAg6 PBE-GGA optimized geometry; total magnetic moment = 0.0 μB per cell
1.0
5.385 0.129 -0.104
-0.331 8.205 -4.666
0.143 -0.216 9.441
Ag Ho Pm
12 2 4
Direct
0.501 0.005 0.832 Ag
0.998 0.495 0.669 Ag
0.746 0.090 0.590 Ag
0.499 0.995 0.168 Ag
0.246 0.590 0.090 Ag
0.754 0.410 0.910 Ag
0.498 0.669 0.495 Ag
0.502 0.331 0.505 Ag
0.999 0.168 0.995 Ag
0.001 0.832 0.005 Ag
0.254 0.910 0.410 Ag
0.002 0.505 0.331 Ag
0.250 0.250 0.750 Ho
0.750 0.750 0.250 Ho
0.500 0.336 0.164 Pm
0.000 0.836 0.664 Pm
0.500 0.664 0.836 Pm
0.000 0.164 0.336 Pm

=====

(3)
PmHoAg4 PBE-GGA optimized geometry; total magnetic moment = 0.0 μB per cell; energy above the lowest structure with this stoichiometry = 0 meV/atom
1.0
3.574 -0.955 -0.601
-0.607 5.332 -0.379
-0.965 -0.977 7.505
Ag Pm Ho
4 1 1
Direct
0.173 0.498 0.341 Ag
0.658 0.985 0.824 Ag
0.344 0.009 0.172 Ag
0.830 0.497 0.656 Ag
0.501 0.497 0.998 Pm
0.001 0.997 0.498 Ho

=====

(4)
Pm2HoAg5 PBE-GGA optimized geometry; total magnetic moment = 0.0 μB per cell
1.0
5.118 0.000 0.000
0.000 5.118 0.000
-2.559 -2.559 7.161
Ag Pm Ho
5 2 1
Direct
0.387 0.887 0.773 Ag
0.500 0.500 0.000 Ag
0.113 0.613 0.227 Ag
0.887 0.387 0.773 Ag
0.613 0.113 0.227 Ag
0.731 0.731 0.462 Pm
0.269 0.269 0.538 Pm
0.000 0.000 0.000 Ho

=====

(5)
Pm3HoAg2 PBE-GGA optimized geometry; total magnetic moment = 0.0 μB per cell; energy above the lowest structure with this stoichiometry = 223 meV/atom
1.0
-4.978 -4.897 1.081
5.429 -5.343 0.793
0.023 6.409 6.046
Pm Ag Ho
6 4 2
Direct
0.500 0.750 0.000 Pm
0.776 0.026 0.552 Pm
0.776 0.526 0.552 Pm
0.500 0.250 0.000 Pm
0.224 0.474 0.448 Pm
0.224 0.974 0.448 Pm
0.164 0.859 0.718 Ag
0.836 0.141 0.282 Ag
0.445 0.641 0.282 Ag
0.555 0.359 0.718 Ag
0.000 0.000 0.000 Ho
0.000 0.500 0.000 Ho

=====

(6)
PmHoAg4 PBE-GGA optimized geometry; total magnetic moment = 0.0 μB per cell; energy above the lowest structure with this stoichiometry = 123 meV/atom
1.0
5.733 0.000 0.000
2.867 4.965 0.000
2.867 1.655 4.681
Ag Ho Pm
4 1 1
Direct
0.126 0.625 0.625 Ag
0.625 0.625 0.625 Ag
0.625 0.126 0.625 Ag
0.625 0.625 0.126 Ag
0.250 0.250 0.250 Ho
0.000 0.000 0.000 Pm

=====

(7)
PmHoAg PBE-GGA optimized geometry; total magnetic moment = 0.0 μB per cell; energy above the lowest structure with this stoichiometry = 55 meV/atom
1.0
-3.817 -2.908 0.085
0.205 -0.408 -4.777
4.552 -5.954 0.703
Pm Ag Ho
2 2 2
Direct
0.000 0.500 0.872 Pm
0.500 0.000 0.128 Pm
0.500 0.000 0.740 Ag
0.000 0.500 0.260 Ag
0.000 0.000 0.500 Ho
0.500 0.500 0.500 Ho

=====

(8)
Pm2HoAg PBE-GGA optimized geometry; total magnetic moment = 0.0 μB per cell; energy above the lowest structure with this stoichiometry = 124 meV/atom
1.0
3.632 0.000 0.000
1.816 3.145 0.000
1.816 1.048 10.574
Pm Ag Ho
2 1 1
Direct
0.076 0.076 0.772 Pm
0.257 0.257 0.228 Pm
0.667 0.667 0.998 Ag
0.500 0.500 0.501 Ho

=====

Let's list energy of formation from the pure elements in order: -0.103, -0.220, -0.287, -0.213, 0.058, -0.164, -0.119, 0.002 eV per atom.